NdIn2 | Alexandria via LeMat-Bulk | PBE | relaxed; symmetry = C2/m; ΔE_f = -256 meV/atom; magnetic moment = 0.0 Bohr magnetons per cell
1.0
3.1592 -3.0986 0.0000
3.1592 3.0986 0.0000
-1.8925 0.0000 4.5178
Nd In
1 2
Cartesian
0.0000 0.0000 0.0000
0.9948 0.0000 3.0525
3.4311 0.0000 1.4653